Sr4Ca5Cd2: relaxed, GGA-PBE.

Unit cell a=13.6852 b=13.6852 c=13.6852 alpha=131.45 beta=58.01 gamma=150.20
Atoms (fractional coordinates):
Sr: 0.0431 0.6988 0.7419
Sr: 0.1379 0.0888 0.2266
Sr: 0.3621 0.5888 0.9509
Sr: 0.4569 0.1988 0.6557
Sr: 0.5431 0.8012 0.3443
Sr: 0.6379 0.4112 0.0491
Sr: 0.8621 0.9112 0.7734
Sr: 0.9569 0.3012 0.2581
Ca: 0.1368 0.4208 0.5576
Ca: 0.2105 0.7510 0.9615
Ca: 0.2500 0.2500 0.0000
Ca: 0.2895 0.2510 0.5405
Ca: 0.3632 0.9208 0.2840
Ca: 0.6368 0.0792 0.7160
Ca: 0.7105 0.7490 0.4595
Ca: 0.7500 0.7500 0.0000
Ca: 0.7895 0.2490 0.0385
Ca: 0.8632 0.5792 0.4424
Cd: 0.0050 0.7500 0.2550
Cd: 0.4950 0.7500 0.7450
Cd: 0.5050 0.2500 0.2550
Cd: 0.9950 0.2500 0.7450

Results
formation energy from the elements = -0.06 eV/atom
DFT total energy = -1.751 eV per atom
space group = No. 72
mass density = 2.7 Mg/m³